This record from Alexandria via LeMat-Bulk describes an optimized crystal structure of CdNiSnO4. The functional is PBE with a Hubbard U.

Cell lengths 6.3108, 6.3640, 6.3640 Å; angles 61.06, 60.28, 60.28 degrees
Closest atoms and distances in Å follow each position.
Element x y z (fractional)
Cd 0.6393 0.6107 0.1107  4 O 2.19-2.21
Cd 0.3607 0.3893 0.8893  4 O 2.19-2.21
Ni 0.5000 0.0000 0.5000  6 O 2.11-2.16
Ni 0.0000 0.0000 0.5000  6 O 2.11-2.16
Sn 0.0000 0.0000 0.0000  6 O 2.07-2.13
Sn 0.0000 0.5000 0.5000  6 O 2.07-2.13
O 0.7710 0.7636 0.6944  1 Sn 2.07, 2 Ni 2.11, 1 Cd 2.19
O 0.2290 0.8056 0.7364  1 Sn 2.07, 2 Ni 2.11, 1 Cd 2.19
O 0.7710 0.1944 0.2636  1 Sn 2.07, 2 Ni 2.11, 1 Cd 2.19
O 0.2290 0.2364 0.3056  1 Sn 2.07, 2 Ni 2.11, 1 Cd 2.19
O 0.2109 0.7596 0.2596  2 Sn 2.13, 1 Ni 2.16, 1 Cd 2.21
O 0.7700 0.7596 0.2596  2 Sn 2.13, 1 Ni 2.16, 1 Cd 2.21
O 0.2300 0.2404 0.7404  2 Sn 2.13, 1 Ni 2.16, 1 Cd 2.21
O 0.7891 0.2404 0.7404  2 Sn 2.13, 1 Ni 2.16, 1 Cd 2.21

Output
- SG: Imma
- Electronic total energy: -5.259 eV/atom